CdSb2TeBr after structural relaxation. Source: Alexandria via LeMat-Bulk, functional GGA-PBE.

Cell lengths 5.6291, 5.6291, 5.5031 Å; angles 90.00, 90.00, 90.00 degrees
Positions (direct):
Cd 0.0000 0.0000 0.0000
Sb 0.0000 0.5000 0.0000
Sb 0.5000 0.0000 0.0000
Te 0.0000 0.0000 0.5000
Br 0.5000 0.5000 0.5000

Results
The raw total energy comes out at -2.19 eV per atom. Its crystal system is tetragonal. As for the energy relative to the lowest polymorph listed for this composition: 0.0000 eV per atom. The formation energy (no corrections) is 0.605 eV/atom. As for the space-group type: P4/mmm.